The following is a DFT calculation (PBE) of a relaxed TcNi2 crystal.

Unit cell a=5.633 b=5.633 c=5.633 alpha=90.00 beta=90.00 gamma=90.00
Fractional positions:
Ni 0.382 0.382 0.382
Ni 0.618 0.618 0.618
Ni 0.882 0.118 0.618
Ni 0.118 0.882 0.382
Ni 0.618 0.882 0.118
Ni 0.382 0.118 0.882
Ni 0.118 0.618 0.882
Ni 0.882 0.382 0.118
Tc 0.000 0.000 0.000
Tc 0.500 0.500 0.000
Tc 0.500 0.000 0.500
Tc 0.000 0.500 0.500

## Properties
The offset from the most stable computed form comes out at 1.063 eV/atom. As for the space group: Pa-3. Its calculated volume is 44.69 Å³/f.u. The value obtained for the formation energy is 3.1 eV/f.u.

The following is a DFT calculation (PBE) of a relaxed Pr7DyHg4 crystal.

Unit cell a=5.897 b=9.233 c=8.110 alpha=71.57 beta=68.68 gamma=71.38
Fractional positions:
Pr 0.785 0.897 0.532
Pr 0.215 0.103 0.468
Pr 0.062 0.601 0.274
Pr 0.938 0.399 0.726
Pr 0.268 0.684 0.779
Pr 0.500 0.000 0.000
Pr 0.732 0.316 0.221
Dy 0.000 0.000 0.000
Hg 0.546 0.271 0.636
Hg 0.454 0.729 0.364
Hg 0.689 0.656 0.967
Hg 0.311 0.344 0.033

## Properties
As for the space group: C2/m. Its calculated volume is 379.69 Å³/f.u. The value obtained for the formation energy is -1.6 eV/f.u.

The following is a DFT calculation (PBE) of a relaxed Y3Tm2Cu2 crystal.

Unit cell a=3.592 b=6.498 c=8.991 alpha=115.38 beta=90.00 gamma=106.04
Fractional positions:
Y 0.500 0.000 0.000
Y 0.613 0.226 0.442
Y 0.387 0.774 0.558
Tm 0.843 0.685 0.185
Tm 0.157 0.315 0.815
Cu 0.825 0.650 0.773
Cu 0.175 0.350 0.227

## Properties
As for the space group: C2/m. Its calculated volume is 180.48 Å³/f.u. The value obtained for the formation energy is -0.8 eV/f.u.

The following is a DFT calculation (PBE) of a relaxed Ag3SeF6 crystal.

Unit cell a=4.453 b=8.711 c=8.711 alpha=108.65 beta=90.00 gamma=90.00
Last column: magnetic moment on the atom in μB.
Fractional positions:
Ag 0.553 0.897 0.687  0.08
Ag 0.053 0.687 0.897  0.08
Ag 0.464 0.435 0.565  0.01
Ag 0.964 0.565 0.435  0.01
Ag 0.053 0.103 0.313  0.08
Ag 0.553 0.313 0.103  0.08
Se 0.930 0.174 0.826  0.34
Se 0.430 0.826 0.174  0.34
F 0.023 0.776 0.648  0.02
F 0.523 0.648 0.776  0.02
F 0.229 0.346 0.899  0.08
F 0.729 0.899 0.346  0.08
F 0.181 0.066 0.934  0.03
F 0.800 0.299 0.701  0.03
F 0.300 0.701 0.299  0.03
F 0.681 0.934 0.066  0.03
F 0.229 0.101 0.654  0.08
F 0.729 0.654 0.101  0.08
F 0.023 0.352 0.224  0.02
F 0.523 0.224 0.352  0.02

## Properties
The value obtained for the energy is -3.419 eV/atom. As for the space group: Cmc2_1. Its calculated volume is 160.08 Å³/f.u.

The following is a DFT calculation (PBE) of a relaxed Sc2CuP crystal.

Unit cell a=3.786 b=3.786 c=5.320 alpha=90.00 beta=90.00 gamma=90.00
Fractional positions:
Sc 0.000 0.000 0.876
Sc 0.500 0.500 0.374
Cu 0.000 0.000 0.376
P 0.500 0.500 0.874

## Properties
As for the space group: P4mm. Its calculated volume is 76.24 Å³/f.u. The value obtained for the formation energy is -2.5 eV/f.u.

The following is a DFT calculation (PBE) of a relaxed Sr2CrAsAu crystal.

Unit cell a=5.985 b=4.937 c=5.985 alpha=90.00 beta=90.00 gamma=90.00
Last column: magnetic moment on the atom in μB.
Fractional positions:
Sr 0.000 0.000 0.500  0.03
Sr 0.500 0.000 0.000  0.02
As 0.000 0.000 0.000  0.02
Au 0.000 0.500 0.000  0.01
Cr 0.500 0.500 0.500  4.21

## Properties
As for the space group: P4/mmm. Its calculated volume is 176.88 Å³/f.u. The value obtained for the formation energy is 0.3 eV/f.u.

Q: What is the calculated volume in the first record?
A: 44.69 Å³/f.u.

Q: What is the formula in the first record?
A: TcNi2

Q: Which value of calculated volume does entry 2 give?
A: 379.69 Å³/f.u.